No. 1
A plane-wave DFT calculation with GGA-PBE was carried out for NbCoW2 after structural relaxation.

Cell and atoms, written as POSCAR:
```
NbCoW2
1.0
1.388 0.801 9.629
-1.388 0.801 9.629
0.000 -1.602 9.629
Nb Co W
1 1 2
Cartesian
0.000 0.000 0.000
0.000 0.000 14.444
0.000 0.000 2.709
0.000 0.000 26.178
```

**Crystal system**: trigonal
**Symmetry**: R-3m
**Density**: 13.434 Mg/m³
**Offset from the most stable computed form**: 0.317 eV per atom

***

No. 2
A plane-wave DFT calculation with GGA-PBE was carried out for GdY2O after structural relaxation.

Cell and atoms, written as POSCAR:
```
GdY2O
1.0
1.745 1.007 9.282
-1.745 1.007 9.282
0.000 -2.015 9.282
Gd Y O
1 2 1
Cartesian
0.000 0.000 0.000
0.000 0.000 3.318
0.000 0.000 24.527
0.000 0.000 13.922
```

**Formation energy from raw total energies**: -4.9 eV per formula unit
**Crystal system**: trigonal
**Symmetry**: R-3m
**Density**: 5.956 Mg/m³
**Offset from the most stable computed form**: 0.000 eV per atom

***

No. 3
A plane-wave DFT calculation with GGA-PBE was carried out for SrCa2Sn after structural relaxation.

Cell and atoms, written as POSCAR:
```
SrCa2Sn
1.0
2.463 -6.490 0.000
2.463 6.490 0.000
0.000 0.000 9.586
Sr Ca Sn
2 4 2
Cartesian
2.463 5.728 7.189
2.463 -5.728 2.396
2.463 1.943 5.354
2.463 1.943 9.025
2.463 -1.943 0.561
2.463 -1.943 4.232
2.463 3.418 2.396
2.463 -3.418 7.189
```

**Crystal system**: orthorhombic
**Symmetry**: Cmcm
**Density**: 3.105 Mg/m³
**Calculated total energy**: -22.9 eV per cell

***

No. 4
A plane-wave DFT calculation with GGA-PBE was carried out for OsSe2Cl after structural relaxation.

Cell and atoms, written as POSCAR:
```
OsSe2Cl
1.0
3.197 0.000 0.000
0.000 4.376 0.000
0.000 0.000 5.014
Os Se Cl
1 2 1
Cartesian
0.000 0.000 0.000
0.000 2.188 2.507
1.599 0.000 2.507
1.599 2.188 0.000
```

**Formation energy from raw total energies**: 4.6 eV per formula unit
**Crystal system**: orthorhombic
**Symmetry**: Pmmm
**Density**: 9.081 Mg/m³
**Offset from the most stable computed form**: 1.146 eV per atom